Here is a relaxed LaGaPd4 crystal from Alexandria. Energies are from PBE.

Cell: 5.414 5.414 5.414 Å, 60.00 60.00 60.00°
Element x y z (fractional)
La 0.000 0.000 0.000
Ga 0.750 0.750 0.750
Pd 0.376 0.376 0.376
Pd 0.376 0.376 0.873
Pd 0.376 0.873 0.376
Pd 0.873 0.376 0.376

Output
Energy relative to the lowest polymorph listed for this composition   8.1 kJ per mole of atoms
Crystal system   cubic
ΔE_f   -0.629 eV/atom
VASP energy   -5.4166 eV/atom